This record from OQMD via LeMat-Bulk describes a geometry-optimized YHoSi2Pd structure. The functional is PBE.

Output
final energy: -63.5 eV for the cell shown

abc: 5.657 5.657 10.089
angles: 115.84 115.84 44.06
Fractional positions:
Y 0.187 0.187 0.107
Y 0.813 0.813 0.893
Ho 0.002 0.002 0.324
Ho 0.998 0.998 0.676
Si 0.368 0.368 0.435
Si 0.482 0.482 0.115
Si 0.518 0.518 0.885
Si 0.632 0.632 0.565
Pd 0.275 0.275 0.638
Pd 0.725 0.725 0.362